(1)
First-principles (GGA-PBEsol) data for K2ScTl after structural relaxation, as listed in Alexandria.

Lattice parameters (Å, degrees): 3.5401 3.5401 13.0221 82.19 82.19 60.00
Closest atoms and distances in Å follow each position.
Fractional coordinates of all 4 atoms:
K 0.2539 0.2539 0.2382  6 K 3.54, 3 Tl 3.68, 3 Sc 3.94
K 0.7461 0.7461 0.7618  6 K 3.54, 3 Tl 3.68, 3 Sc 3.94
Sc 0.5000 0.5000 0.5000  6 Sc 3.54, 6 K 3.94
Tl 0.0000 0.0000 0.0000  6 Tl 3.54, 6 K 3.68

Properties
- symmetry = R-3m, No. 166

=====

(2)
First-principles (GGA-PBEsol) data for KScTl2 after structural relaxation, as listed in Alexandria.

Lattice parameters (Å, degrees): 3.6265 3.6265 8.3891 90.00 90.00 90.00
Closest atoms and distances in Å follow each position.
Fractional coordinates of all 4 atoms:
Sc 0.5000 0.5000 0.5000  8 Tl 3.06
Tl 0.0000 0.0000 0.7001  4 Sc 3.06, 1 Tl 3.36
Tl 0.0000 0.0000 0.2999  4 Sc 3.06, 1 Tl 3.36
K 0.5000 0.5000 0.0000  8 Tl 3.59, 4 K 3.63

Properties
- symmetry = P4/mmm, No. 123
- excess energy over the best structure of this formula in the dataset (meV per atom) = 0

=====

(3)
First-principles (GGA-PBEsol) data for KSc3Tl after structural relaxation, as listed in Alexandria.

Lattice parameters (Å, degrees): 4.8963 4.8963 4.8963 90.00 90.00 90.00
Closest atoms and distances in Å follow each position.
Fractional coordinates of all 5 atoms:
Sc 0.0000 0.5000 0.0000  2 K 2.45
Sc 0.0000 0.0000 0.5000  2 K 2.45
Sc 0.5000 0.0000 0.0000  2 K 2.45
Tl 0.5000 0.5000 0.5000  12 Sc 3.46
K 0.0000 0.0000 0.0000  6 Sc 2.45

Properties
- symmetry = Pm-3m, No. 221

=====

(4)
First-principles (GGA-PBEsol) data for KScTl2 after structural relaxation, as listed in Alexandria.

Lattice parameters (Å, degrees): 5.3832 5.3832 5.3832 60.00 60.00 60.00
Closest atoms and distances in Å follow each position.
Fractional coordinates of all 4 atoms:
K 0.5000 0.5000 0.5000  4 Tl 3.30, 4 Sc 3.30
Sc 0.2500 0.2500 0.2500  4 Tl 3.30, 4 K 3.30
Tl 0.0000 0.0000 0.0000  4 Sc 3.30, 4 Tl 3.30
Tl 0.7500 0.7500 0.7500  4 Tl 3.30, 4 K 3.30

Properties
- symmetry = F-43m, No. 216
- excess energy over the best structure of this formula in the dataset (meV per atom) = 428

=====

(5)
First-principles (GGA-PBEsol) data for KScTl2 after structural relaxation, as listed in Alexandria.

Lattice parameters (Å, degrees): 3.4291 5.5417 6.6583 114.59 104.92 90.00
Closest atoms and distances in Å follow each position.
Fractional coordinates of all 4 atoms:
K 0.4945 0.4945 0.9890  6 Tl 3.26-3.54, 2 K 3.43
Sc 0.2809 0.7809 0.5618  6 Tl 3.04-3.32
Tl 0.9973 0.9973 0.9946  2 Sc 3.04, 2 Tl 3.17, 4 K 3.26
Tl 0.7273 0.2273 0.4547  4 Tl 3.17-3.43, 4 Sc 3.32, 2 K 3.54

Properties
- symmetry = Imm2, No. 44
- excess energy over the best structure of this formula in the dataset (meV per atom) = 239

=====

(6)
First-principles (GGA-PBEsol) data for KSc4Tl after structural relaxation, as listed in Alexandria.

Lattice parameters (Å, degrees): 6.0955 6.0955 6.0955 60.00 60.00 60.00
Closest atoms and distances in Å follow each position.
Fractional coordinates of all 6 atoms:
K 0.0000 0.0000 0.0000  12 Sc 3.58, 4 Tl 3.73
Sc 0.3772 0.3772 0.3772  6 Sc 2.99-3.10
Sc 0.3772 0.3772 0.8684  6 Sc 2.99-3.10
Sc 0.8684 0.3772 0.3772  6 Sc 2.99-3.10
Sc 0.3772 0.8684 0.3772  6 Sc 2.99-3.10
Tl 0.7500 0.7500 0.7500  12 Sc 3.57, 4 K 3.73

Properties
- symmetry = F-43m, No. 216

=====

no.,ΔE_f (meV/atom)
1,395.6
2,-188.5
3,1203.9
4,239.0
5,50.8
6,408.7